1.
This record from Alexandria describes an optimized crystal structure of SeN. The functional is PBE.

**Raw total energy**: -34.036 eV per cell
**Magnetization**: 0.00 μB/cell
**Raw formation energy**: 1650.4 meV per atom

a b c (Å): 5.105 5.105 5.105
angles (deg): 90.00 90.00 90.00
Element x y z (fractional)
Se: 0.000 0.000 0.000
Se: 0.000 0.500 0.500
Se: 0.500 0.000 0.500
Se: 0.500 0.500 0.000
N: 0.250 0.250 0.250
N: 0.250 0.750 0.750
N: 0.750 0.250 0.750
N: 0.750 0.750 0.250

2.
This record from Alexandria describes an optimized crystal structure of Sr2CdPb. The functional is PBE.

**Formation energy**: -0.236 eV per atom
**Raw total energy**: -26.797 eV per cell
**Magnetization**: 0.00 μB/cell
**Energy above the lowest structure with this stoichiometry**: 266 meV/atom

a b c (Å): 4.962 4.962 23.482
angles (deg): 90.00 90.00 120.00
Element x y z (fractional)
Sr: 0.000 0.000 0.000
Sr: 0.000 0.000 0.185
Sr: 0.333 0.667 0.667
Sr: 0.333 0.667 0.852
Sr: 0.667 0.333 0.333
Sr: 0.667 0.333 0.518
Cd: 0.000 0.000 0.741
Cd: 0.333 0.667 0.408
Cd: 0.667 0.333 0.074
Pb: 0.000 0.000 0.440
Pb: 0.333 0.667 0.107
Pb: 0.667 0.333 0.774